! LaCr2Se | Alexandria via LeMat-Bulk | GGA-PBE | relaxed; values from VASP
&SYSTEM
  ibrav = 0, nat = 4, ntyp = 3
/
ATOMIC_SPECIES
La 138.91 La.upf
Cr 52.00 Cr.upf
Se 78.96 Se.upf
ATOMIC_POSITIONS crystal
La 0.000 0.000 0.000
Cr 0.286 0.786 0.500
Cr 0.714 0.214 0.500
Se 0.500 0.500 0.000
CELL_PARAMETERS angstrom
-1.721 2.508 5.131
1.721 -2.508 5.131
1.721 2.508 -5.131
! Uncorrected formation energy = 93 meV/atom
! Total energy = -6.8214 eV/atom

---

! AcPmGaHg | Alexandria via LeMat-Bulk | GGA-PBE | relaxed; values from VASP
&SYSTEM
  ibrav = 0, nat = 4, ntyp = 4
/
ATOMIC_SPECIES
Ac 227.00 Ac.upf
Pm 145.00 Pm.upf
Ga 69.72 Ga.upf
Hg 200.59 Hg.upf
ATOMIC_POSITIONS crystal
Ac 0.000 0.000 0.000
Pm 0.500 0.500 0.500
Ga 0.750 0.750 0.750
Hg 0.250 0.250 0.250
CELL_PARAMETERS angstrom
0.000 3.883 3.883
3.883 0.000 3.883
3.883 3.883 0.000
! Formation energy from the elements = -0.44 eV per atom
! Total energy = -3.4882 eV/atom

---

! BeMo5 | Alexandria via LeMat-Bulk | GGA-PBE | relaxed; values from VASP
&SYSTEM
  ibrav = 0, nat = 6, ntyp = 2
/
ATOMIC_SPECIES
Be 9.01 Be.upf
Mo 95.94 Mo.upf
ATOMIC_POSITIONS crystal
Be 0.000 0.000 0.000
Mo 0.163 0.837 0.500
Mo 0.338 0.662 0.000
Mo 0.500 0.500 0.500
Mo 0.662 0.338 0.000
Mo 0.837 0.163 0.500
CELL_PARAMETERS angstrom
2.161 -6.435 0.000
2.161 6.435 0.000
0.000 0.000 3.218
! Formation energy from the elements = 0.10 eV per atom
! ΔE to the lowest computed polymorph = 1 meV per atom
! Total energy = -9.5425 eV/atom

---

! PmTmBi2 | Alexandria via LeMat-Bulk | GGA-PBE | relaxed; values from VASP
&SYSTEM
  ibrav = 0, nat = 4, ntyp = 3
/
ATOMIC_SPECIES
Pm 145.00 Pm.upf
Tm 168.93 Tm.upf
Bi 208.98 Bi.upf
ATOMIC_POSITIONS crystal
Pm 0.000 0.000 0.000
Tm 0.500 0.500 0.500
Bi 0.247 0.247 0.740
Bi 0.753 0.753 0.260
CELL_PARAMETERS angstrom
3.903 -2.257 0.000
3.903 2.257 0.000
-2.615 0.000 7.347
! Formation energy from the elements = -0.86 eV per atom
! ΔE to the lowest computed polymorph = 0 meV per atom
! Total energy = -5.1041 eV/atom

---

! KIr | Alexandria via LeMat-Bulk | GGA-PBE | relaxed; values from VASP
&SYSTEM
  ibrav = 0, nat = 16, ntyp = 2
/
ATOMIC_SPECIES
K 39.10 K.upf
Ir 192.22 Ir.upf
ATOMIC_POSITIONS crystal
K 0.147 0.250 0.244
K 0.163 0.250 0.769
K 0.337 0.750 0.269
K 0.353 0.750 0.744
K 0.647 0.250 0.256
K 0.663 0.250 0.731
K 0.837 0.750 0.231
K 0.853 0.750 0.756
Ir 0.100 0.601 0.001
Ir 0.100 0.899 0.001
Ir 0.400 0.101 0.501
Ir 0.400 0.399 0.501
Ir 0.600 0.601 0.499
Ir 0.600 0.899 0.499
Ir 0.900 0.101 0.999
Ir 0.900 0.399 0.999
CELL_PARAMETERS angstrom
8.669 0.000 0.000
0.000 7.979 0.000
0.000 0.000 9.151
! Formation energy from the elements = 0.72 eV per atom
! ΔE to the lowest computed polymorph = 356 meV per atom
! Total energy = -4.2581 eV/atom

---

! ZrCo2H8 | Alexandria via LeMat-Bulk | GGA-PBE | relaxed; values from VASP
&SYSTEM
  ibrav = 0, nat = 11, ntyp = 3
/
ATOMIC_SPECIES
Zr 91.22 Zr.upf
Co 58.93 Co.upf
H 1.01 H.upf
ATOMIC_POSITIONS crystal
Zr 0.000 0.000 0.000
Co 0.324 0.676 0.500
Co 0.676 0.324 0.500
H 0.036 0.321 0.547
H 0.279 0.721 0.000
H 0.321 0.036 0.547
H 0.417 0.417 0.235
H 0.583 0.583 0.765
H 0.679 0.964 0.453
H 0.721 0.279 0.000
H 0.964 0.679 0.453
CELL_PARAMETERS angstrom
2.523 -3.828 0.000
2.523 3.828 0.000
-0.393 0.000 3.388
! ΔE to the lowest computed polymorph = 19 meV per atom
! Total energy = -4.5470 eV/atom

---

! Ac2Ga2Au3 | Alexandria via LeMat-Bulk | GGA-PBE | relaxed; values from VASP
&SYSTEM
  ibrav = 0, nat = 14, ntyp = 3
/
ATOMIC_SPECIES
Ac 227.00 Ac.upf
Ga 69.72 Ga.upf
Au 196.97 Au.upf
ATOMIC_POSITIONS crystal
Ac 0.055 0.945 0.750
Ac 0.160 0.840 0.250
Ac 0.840 0.160 0.750
Ac 0.945 0.055 0.250
Ga 0.311 0.689 0.065
Ga 0.311 0.689 0.435
Ga 0.689 0.311 0.565
Ga 0.689 0.311 0.935
Au 0.219 0.781 0.750
Au 0.436 0.564 0.560
Au 0.436 0.564 0.940
Au 0.564 0.436 0.060
Au 0.564 0.436 0.440
Au 0.781 0.219 0.250
CELL_PARAMETERS angstrom
2.212 -10.321 0.000
2.212 10.321 0.000
0.000 0.000 7.622
! Formation energy from the elements = -0.71 eV per atom
! ΔE to the lowest computed polymorph = 0 meV per atom
! Total energy = -4.1556 eV/atom

---

! VSb2TeIr | Alexandria via LeMat-Bulk | GGA-PBE | relaxed; values from VASP
&SYSTEM
  ibrav = 0, nat = 5, ntyp = 4
/
ATOMIC_SPECIES
V 50.94 V.upf
Sb 121.76 Sb.upf
Te 127.60 Te.upf
Ir 192.22 Ir.upf
ATOMIC_POSITIONS crystal
V 0.000 0.000 0.000
Sb 0.000 0.500 0.000
Sb 0.500 0.000 0.000
Te 0.000 0.000 0.500
Ir 0.500 0.500 0.500
CELL_PARAMETERS angstrom
5.009 0.000 0.000
0.000 5.009 0.000
0.000 0.000 4.956
! ΔE to the lowest computed polymorph = 0 meV per atom
! Uncorrected formation energy = 947 meV/atom
! Total energy = -4.9258 eV/atom

---

! Cs3HgCl3 | Alexandria via LeMat-Bulk | GGA-PBE | relaxed; values from VASP
&SYSTEM
  ibrav = 0, nat = 14, ntyp = 3
/
ATOMIC_SPECIES
Cs 132.91 Cs.upf
Hg 200.59 Hg.upf
Cl 35.45 Cl.upf
ATOMIC_POSITIONS crystal
Cs 0.000 0.250 0.500
Cs 0.000 0.750 0.500
Cs 0.250 0.500 0.000
Cs 0.500 0.000 0.250
Cs 0.500 0.000 0.750
Cs 0.750 0.500 0.000
Hg 0.000 0.000 0.000
Hg 0.500 0.500 0.500
Cl 0.000 0.500 0.250
Cl 0.000 0.500 0.750
Cl 0.250 0.000 0.500
Cl 0.500 0.250 0.000
Cl 0.500 0.750 0.000
Cl 0.750 0.000 0.500
CELL_PARAMETERS angstrom
9.528 0.000 0.000
0.000 9.528 0.000
0.000 0.000 9.528
! Uncorrected formation energy = -1589 meV/atom
! Total energy = -2.7891 eV/atom

---

! Sc3CoSb2 | Alexandria via LeMat-Bulk | GGA-PBE | relaxed; values from VASP
&SYSTEM
  ibrav = 0, nat = 24, ntyp = 3
/
ATOMIC_SPECIES
Sc 44.96 Sc.upf
Co 58.93 Co.upf
Sb 121.76 Sb.upf
ATOMIC_POSITIONS crystal
Sc 0.058 0.250 0.124
Sc 0.118 0.750 0.548
Sc 0.240 0.250 0.790
Sc 0.260 0.750 0.290
Sc 0.382 0.250 0.048
Sc 0.442 0.750 0.624
Sc 0.558 0.250 0.376
Sc 0.618 0.750 0.952
Sc 0.740 0.250 0.710
Sc 0.760 0.750 0.210
Sc 0.882 0.250 0.452
Sc 0.942 0.750 0.876
Co 0.126 0.250 0.353
Co 0.374 0.750 0.853
Co 0.626 0.250 0.147
Co 0.874 0.750 0.647
Sb 0.000 0.250 0.694
Sb 0.000 0.750 0.306
Sb 0.192 0.750 0.993
Sb 0.308 0.250 0.493
Sb 0.500 0.250 0.806
Sb 0.500 0.750 0.194
Sb 0.692 0.750 0.507
Sb 0.808 0.250 0.007
CELL_PARAMETERS angstrom
11.258 0.000 0.000
0.000 4.139 0.000
0.000 0.000 11.010
! Uncorrected formation energy = -759 meV/atom
! Total energy = -6.4830 eV/atom

---

! AsRhCl2 | Alexandria via LeMat-Bulk | GGA-PBE | relaxed; values from VASP
&SYSTEM
  ibrav = 0, nat = 4, ntyp = 3
/
ATOMIC_SPECIES
As 74.92 As.upf
Rh 102.91 Rh.upf
Cl 35.45 Cl.upf
ATOMIC_POSITIONS crystal
As 0.000 0.000 0.000
Rh 0.665 0.665 0.865
Cl 0.002 0.002 0.268
Cl 0.331 0.331 0.682
CELL_PARAMETERS angstrom
3.180 -1.836 0.000
3.180 1.836 0.000
-0.053 0.000 8.112
! ΔE to the lowest computed polymorph = 0 meV per atom
! Uncorrected formation energy = -600 meV/atom
! Total energy = -4.5231 eV/atom

---

! Tb6Pm3Y2Tl | Alexandria via LeMat-Bulk | GGA-PBE | relaxed; values from VASP
&SYSTEM
  ibrav = 0, nat = 12, ntyp = 4
/
ATOMIC_SPECIES
Tb 158.93 Tb.upf
Pm 145.00 Pm.upf
Y 88.91 Y.upf
Tl 204.38 Tl.upf
ATOMIC_POSITIONS crystal
Tb 0.081 0.409 0.245
Tb 0.247 0.247 0.753
Tb 0.409 0.081 0.245
Tb 0.591 0.919 0.755
Tb 0.753 0.753 0.247
Tb 0.919 0.591 0.755
Pm 0.167 0.833 0.500
Pm 0.500 0.500 0.500
Pm 0.833 0.167 0.500
Y 0.334 0.666 0.000
Y 0.666 0.334 0.000
Tl 0.000 0.000 0.000
CELL_PARAMETERS angstrom
3.081 -5.341 0.000
3.081 5.341 0.000
-2.068 0.000 11.561
! Formation energy from the elements = -0.01 eV per atom
! Total energy = -4.7916 eV/atom

---

! NaNiH3 | Alexandria via LeMat-Bulk | GGA-PBE | relaxed; values from VASP
&SYSTEM
  ibrav = 0, nat = 5, ntyp = 3
/
ATOMIC_SPECIES
Na 22.99 Na.upf
Ni 58.69 Ni.upf
H 1.01 H.upf
ATOMIC_POSITIONS crystal
Na 0.000 0.000 0.000
Ni 0.500 0.500 0.477
H 0.000 0.000 0.587
H 0.000 0.500 0.325
H 0.500 0.000 0.325
CELL_PARAMETERS angstrom
2.875 0.000 0.000
0.000 2.875 0.000
0.000 0.000 5.142
! Total energy = -3.2622 eV/atom

---

! PrGd4Er | Alexandria via LeMat-Bulk | GGA-PBE | relaxed; values from VASP
&SYSTEM
  ibrav = 0, nat = 6, ntyp = 3
/
ATOMIC_SPECIES
Pr 140.91 Pr.upf
Gd 157.25 Gd.upf
Er 167.26 Er.upf
ATOMIC_POSITIONS crystal
Pr 0.000 0.000 0.000
Gd 0.375 0.375 0.375
Gd 0.375 0.375 0.874
Gd 0.375 0.874 0.375
Gd 0.874 0.375 0.375
Er 0.750 0.750 0.750
CELL_PARAMETERS angstrom
0.000 4.675 4.675
4.675 0.000 4.675
4.675 4.675 0.000
! Formation energy from the elements = 0.25 eV per atom
! Total energy = -10.6905 eV/atom

---

! GdThNi | Alexandria via LeMat-Bulk | GGA-PBE | relaxed; values from VASP
&SYSTEM
  ibrav = 0, nat = 3, ntyp = 3
/
ATOMIC_SPECIES
Gd 157.25 Gd.upf
Th 232.04 Th.upf
Ni 58.69 Ni.upf
ATOMIC_POSITIONS crystal
Gd 0.000 0.000 0.000
Th 0.333 0.667 0.537
Ni 0.667 0.333 0.279
CELL_PARAMETERS angstrom
3.773 0.000 0.000
-1.886 3.267 0.000
0.000 0.000 6.439
! Formation energy from the elements = -0.13 eV per atom
! ΔE to the lowest computed polymorph = 47 meV per atom
! Total energy = -9.2243 eV/atom

---

! LaTbSmHo | Alexandria via LeMat-Bulk | GGA-PBE | relaxed; values from VASP
&SYSTEM
  ibrav = 0, nat = 4, ntyp = 4
/
ATOMIC_SPECIES
La 138.91 La.upf
Tb 158.93 Tb.upf
Sm 150.36 Sm.upf
Ho 164.93 Ho.upf
ATOMIC_POSITIONS crystal
La 0.000 0.000 0.000
Tb 0.499 0.000 0.246
Sm 0.500 0.500 0.734
Ho 0.000 0.000 0.505
CELL_PARAMETERS angstrom
5.764 0.000 0.000
0.000 3.426 0.000
-0.008 0.000 6.812
! Formation energy from the elements = 0.18 eV per atom
! ΔE to the lowest computed polymorph = 69 meV per atom
! Total energy = -4.5319 eV/atom

---

! KHgRh2 | Alexandria via LeMat-Bulk | GGA-PBE | relaxed; values from VASP
&SYSTEM
  ibrav = 0, nat = 4, ntyp = 3
/
ATOMIC_SPECIES
K 39.10 K.upf
Hg 200.59 Hg.upf
Rh 102.91 Rh.upf
ATOMIC_POSITIONS crystal
K 0.000 0.000 0.000
Hg 0.500 0.500 0.000
Rh 0.250 0.750 0.500
Rh 0.750 0.250 0.500
CELL_PARAMETERS angstrom
-2.133 2.133 4.323
2.133 -2.133 4.323
2.133 2.133 -4.323
! Formation energy from the elements = 0.71 eV per atom
! Total energy = -3.3190 eV/atom

---

! BaSrY2 | Alexandria via LeMat-Bulk | GGA-PBE | relaxed; values from VASP
&SYSTEM
  ibrav = 0, nat = 4, ntyp = 3
/
ATOMIC_SPECIES
Ba 137.33 Ba.upf
Sr 87.62 Sr.upf
Y 88.91 Y.upf
ATOMIC_POSITIONS crystal
Ba 0.000 0.000 0.000
Sr 0.750 0.750 0.750
Y 0.250 0.250 0.250
Y 0.500 0.500 0.500
CELL_PARAMETERS angstrom
0.000 4.370 4.370
4.370 0.000 4.370
4.370 4.370 0.000
! Formation energy from the elements = 0.27 eV per atom
! ΔE to the lowest computed polymorph = 133 meV per atom
! Total energy = -3.8609 eV/atom

---

! Ba11Tl9Hg4 | Alexandria via LeMat-Bulk | GGA-PBE | relaxed; values from VASP
&SYSTEM
  ibrav = 0, nat = 24, ntyp = 3
/
ATOMIC_SPECIES
Ba 137.33 Ba.upf
Tl 204.38 Tl.upf
Hg 200.59 Hg.upf
ATOMIC_POSITIONS crystal
Ba 0.000 0.000 0.000
Ba 0.071 0.415 0.000
Ba 0.164 0.836 0.000
Ba 0.272 0.272 0.000
Ba 0.356 0.644 0.000
Ba 0.415 0.071 0.000
Ba 0.585 0.929 0.000
Ba 0.644 0.356 0.000
Ba 0.728 0.728 0.000
Ba 0.836 0.164 0.000
Ba 0.929 0.585 0.000
Tl 0.056 0.209 0.500
Tl 0.155 0.635 0.500
Tl 0.209 0.056 0.500
Tl 0.365 0.845 0.500
Tl 0.500 0.500 0.500
Tl 0.635 0.155 0.500
Tl 0.791 0.944 0.500
Tl 0.845 0.365 0.500
Tl 0.944 0.791 0.500
Hg 0.263 0.449 0.500
Hg 0.449 0.263 0.500
Hg 0.551 0.737 0.500
Hg 0.737 0.551 0.500
CELL_PARAMETERS angstrom
8.413 -12.762 0.000
8.413 12.762 0.000
0.000 0.000 4.290
! Formation energy from the elements = -0.42 eV per atom
! Total energy = -2.2360 eV/atom

---

! BaBe2P | Alexandria via LeMat-Bulk | GGA-PBE | relaxed; values from VASP
&SYSTEM
  ibrav = 0, nat = 4, ntyp = 3
/
ATOMIC_SPECIES
Ba 137.33 Ba.upf
Be 9.01 Be.upf
P 30.97 P.upf
ATOMIC_POSITIONS crystal
Ba 0.000 0.000 0.000
Be 0.368 0.632 0.500
Be 0.508 0.492 0.000
P 0.644 0.356 0.500
CELL_PARAMETERS angstrom
3.764 -3.736 0.000
3.764 3.736 0.000
-1.849 0.000 3.250
! Formation energy from the elements = -0.02 eV per atom
! Total energy = -3.7130 eV/atom